Pm3RuI3: optimized geometry, GGA-PBE.

a b c (Å): 9.2746 4.2761 12.5668
angles (deg): 90.00 92.66 90.00
Last column: nearest neighbours and their distance in Å.
Fractional coordinates of all 14 atoms:
Pm1 0.0997 0.2500 0.3882  3 Ru 2.84-2.86
Pm2 0.1123 0.2500 0.8278  1 Ru 2.66
Pm3 0.3017 0.7500 0.6153  2 Ru 2.83
Pm4 0.6983 0.2500 0.3847  2 Ru 2.83
Pm5 0.8877 0.7500 0.1722  1 Ru 2.66
Pm6 0.9003 0.7500 0.6118  3 Ru 2.84-2.86
Ru1 0.1017 0.2500 0.6157  6 Pm 2.66-2.86
Ru2 0.8983 0.7500 0.3843  6 Pm 2.66-2.86
I1 0.1353 0.2500 0.1156  4 Pm 3.24-3.61
I2 0.3633 0.7500 0.8718  3 Pm 3.19-3.25
I3 0.4012 0.7500 0.3669  5 Pm 3.30-3.54
I4 0.5988 0.2500 0.6331  5 Pm 3.30-3.54
I5 0.6367 0.2500 0.1282  3 Pm 3.19-3.25
I6 0.8647 0.7500 0.8844  4 Pm 3.24-3.61

Properties
Space group: P2_1/m
Mass density, g/cm³: 6.12
N(E_F), states/eV per atom: 0.12
Uncorrected energy, eV per atom: -5.028
Formation energy (no corrections), eV/atom: -1.002